Record 1
Material: PrSm7Er12
Method: DFT, PBE
State: relaxed

Summary:
space-group type: No. 229
E_form: 0.66 eV per atom
volume: 707.5 Å³/cell
uncorrected energy: -79.3 eV/cell
theoretical density: 7.51 g/cm³

Cell and atoms, written as POSCAR:
```
PrSm7Er12
1.0
-5.613 5.613 5.613
5.613 -5.613 5.613
5.613 5.613 -5.613
Pr Sm Er
1 7 12
direct
0.000 0.000 0.000
0.000 0.000 0.500
0.000 0.500 0.000
0.000 0.500 0.500
0.500 0.000 0.000
0.500 0.000 0.500
0.500 0.500 0.000
0.500 0.500 0.500
0.000 0.252 0.748
0.000 0.748 0.252
0.252 0.000 0.748
0.252 0.252 0.503
0.252 0.503 0.252
0.252 0.748 0.000
0.497 0.748 0.748
0.503 0.252 0.252
0.748 0.000 0.252
0.748 0.252 0.000
0.748 0.497 0.748
0.748 0.748 0.497
```



Record 2
Material: PrSm6Er4
Method: DFT, PBE
State: relaxed

Summary:
space-group type: No. 121
E_form: 0.38 eV per atom
volume: 385.5 Å³/cell
uncorrected energy: -47.2 eV/cell
theoretical density: 7.37 g/cm³

Cell and atoms, written as POSCAR:
```
PrSm6Er4
1.0
-3.777 3.777 6.758
3.777 -3.777 6.758
3.777 3.777 -6.758
Pr Sm Er
1 6 4
direct
0.000 0.000 0.000
0.000 0.500 0.500
0.045 0.580 0.000
0.420 0.420 0.464
0.500 0.000 0.500
0.580 0.045 0.000
0.955 0.955 0.536
0.259 0.259 0.678
0.419 0.741 0.000
0.581 0.581 0.322
0.741 0.419 0.000
```



Record 3
Material: PrSm2Er5
Method: DFT, PBE
State: relaxed

Summary:
space-group type: No. 55
E_form: 0.02 eV per atom
volume: 511.0 Å³/cell
uncorrected energy: -73.7 eV/cell
theoretical density: 8.30 g/cm³

Cell and atoms, written as POSCAR:
```
PrSm2Er5
1.0
7.126 0.000 0.000
0.000 14.263 0.000
0.000 0.000 5.028
Pr Sm Er
2 4 10
direct
0.000 0.000 0.000
0.500 0.500 0.000
0.247 0.374 0.500
0.253 0.874 0.500
0.747 0.126 0.500
0.753 0.626 0.500
0.000 0.500 0.000
0.002 0.749 0.000
0.249 0.126 0.500
0.251 0.626 0.500
0.498 0.249 0.000
0.500 0.000 0.000
0.502 0.751 0.000
0.749 0.374 0.500
0.751 0.874 0.500
0.998 0.251 0.000
```



Record 4
Material: PrSm2Er6
Method: DFT, PBE
State: relaxed

Summary:
space-group type: No. 164
E_form: 0.23 eV per atom
volume: 290.3 Å³/cell
uncorrected energy: -39.5 eV/cell
theoretical density: 8.27 g/cm³

Cell and atoms, written as POSCAR:
```
PrSm2Er6
1.0
7.443 0.000 0.000
-3.721 6.445 0.000
0.000 0.000 6.051
Pr Sm Er
1 2 6
direct
0.000 0.000 0.000
0.333 0.667 0.211
0.667 0.333 0.789
0.187 0.375 0.701
0.187 0.813 0.701
0.375 0.187 0.299
0.625 0.813 0.701
0.813 0.187 0.299
0.813 0.625 0.299
```



Record 5
Material: Pr2SmEr3
Method: DFT, PBE
State: relaxed

Summary:
space-group type: No. 12
E_form: 0.10 eV per atom
volume: 398.8 Å³/cell
uncorrected energy: -54.7 eV/cell
theoretical density: 7.78 g/cm³

Cell and atoms, written as POSCAR:
```
Pr2SmEr3
1.0
8.391 -2.855 0.000
8.391 2.855 0.000
-5.225 0.000 8.323
Pr Sm Er
4 2 6
direct
0.110 0.110 0.062
0.353 0.353 0.347
0.647 0.647 0.653
0.890 0.890 0.938
0.452 0.452 0.783
0.548 0.548 0.217
0.044 0.044 0.682
0.193 0.193 0.497
0.282 0.282 0.932
0.718 0.718 0.068
0.807 0.807 0.503
0.956 0.956 0.318
```



Record 6
Material: Pr3SmEr8
Method: DFT, PBE
State: relaxed

Summary:
space-group type: No. 121
E_form: 0.63 eV per atom
volume: 431.7 Å³/cell
uncorrected energy: -48.0 eV/cell
theoretical density: 7.35 g/cm³

Cell and atoms, written as POSCAR:
```
Pr3SmEr8
1.0
-4.369 4.369 5.655
4.369 -4.369 5.655
4.369 4.369 -5.655
Pr Sm Er
3 1 8
direct
0.000 0.000 0.000
0.250 0.750 0.500
0.750 0.250 0.500
0.500 0.500 0.000
0.129 0.380 0.000
0.245 0.245 0.510
0.265 0.755 0.000
0.380 0.129 0.000
0.620 0.620 0.749
0.735 0.735 0.490
0.755 0.265 0.000
0.871 0.871 0.251
```



Record 7
Material: PrSm9Er2
Method: DFT, PBE
State: relaxed

Summary:
space-group type: No. 123
E_form: 0.02 eV per atom
volume: 400.2 Å³/cell
uncorrected energy: -56.1 eV/cell
theoretical density: 7.59 g/cm³

Cell and atoms, written as POSCAR:
```
PrSm9Er2
1.0
5.109 0.000 0.000
0.000 5.109 0.000
0.000 0.000 15.333
Pr Sm Er
1 9 2
direct
0.000 0.000 0.000
0.000 0.500 0.170
0.000 0.500 0.500
0.000 0.500 0.830
0.500 0.000 0.170
0.500 0.000 0.500
0.500 0.000 0.830
0.500 0.500 0.000
0.500 0.500 0.336
0.500 0.500 0.664
0.000 0.000 0.335
0.000 0.000 0.665
```



Record 8
Material: PrSm2Er4
Method: DFT, PBE
State: relaxed

Summary:
space-group type: No. 11
E_form: 0.12 eV per atom
volume: 452.0 Å³/cell
uncorrected energy: -63.2 eV/cell
theoretical density: 8.16 g/cm³

Cell and atoms, written as POSCAR:
```
PrSm2Er4
1.0
6.089 0.000 0.000
0.000 6.597 0.000
-2.835 0.000 11.254
Pr Sm Er
2 4 8
direct
0.041 0.250 0.365
0.959 0.750 0.635
0.158 0.250 0.952
0.398 0.750 0.513
0.602 0.250 0.487
0.842 0.750 0.048
0.145 0.250 0.668
0.282 0.750 0.921
0.343 0.508 0.210
0.343 0.992 0.210
0.657 0.008 0.790
0.657 0.492 0.790
0.718 0.250 0.079
0.855 0.750 0.332
```



Record 9
Material: Pr2SmEr8
Method: DFT, PBE
State: relaxed

Summary:
space-group type: No. 12
E_form: 0.17 eV per atom
volume: 358.0 Å³/cell
uncorrected energy: -48.9 eV/cell
theoretical density: 8.21 g/cm³

Cell and atoms, written as POSCAR:
```
Pr2SmEr8
1.0
8.271 -3.299 0.000
8.271 3.299 0.000
-1.147 0.000 6.560
Pr Sm Er
2 1 8
direct
0.245 0.245 0.309
0.755 0.755 0.691
0.000 0.000 0.000
0.175 0.652 0.597
0.201 0.201 0.802
0.348 0.825 0.403
0.412 0.412 0.094
0.588 0.588 0.906
0.652 0.175 0.597
0.799 0.799 0.198
0.825 0.348 0.403
```



Record 10
Material: Pr12Sm5Er
Method: DFT, PBE
State: relaxed

Summary:
space-group type: No. 65
E_form: 0.02 eV per atom
volume: 634.5 Å³/cell
uncorrected energy: -85.2 eV/cell
theoretical density: 6.83 g/cm³

Cell and atoms, written as POSCAR:
```
Pr12Sm5Er
1.0
7.801 -7.806 0.000
7.801 7.806 0.000
0.000 0.000 5.210
Pr Sm Er
12 5 1
direct
0.001 0.669 0.500
0.165 0.165 0.000
0.168 0.501 0.000
0.331 0.999 0.500
0.334 0.334 0.500
0.499 0.832 0.000
0.501 0.168 0.000
0.666 0.666 0.500
0.669 0.001 0.500
0.832 0.499 0.000
0.835 0.835 0.000
0.999 0.331 0.500
0.166 0.834 0.000
0.333 0.667 0.500
0.500 0.500 0.000
0.667 0.333 0.500
0.834 0.166 0.000
0.000 0.000 0.500
```



Record 11
Material: Pr7SmEr12
Method: DFT, PBE
State: relaxed

Summary:
space-group type: No. 204
E_form: 0.64 eV per atom
volume: 719.7 Å³/cell
uncorrected energy: -80.2 eV/cell
theoretical density: 7.25 g/cm³

Cell and atoms, written as POSCAR:
```
Pr7SmEr12
1.0
-5.646 5.646 5.646
5.646 -5.646 5.646
5.646 5.646 -5.646
Pr Sm Er
7 1 12
direct
0.000 0.000 0.500
0.000 0.500 0.000
0.000 0.500 0.500
0.500 0.000 0.000
0.500 0.000 0.500
0.500 0.500 0.000
0.500 0.500 0.500
0.000 0.000 0.000
0.001 0.752 0.249
0.248 0.249 0.497
0.248 0.751 0.999
0.249 0.001 0.752
0.249 0.497 0.248
0.497 0.248 0.249
0.503 0.752 0.751
0.751 0.503 0.752
0.751 0.999 0.248
0.752 0.249 0.001
0.752 0.751 0.503
0.999 0.248 0.751
```



Record 12
Material: Pr15SmEr4
Method: DFT, PBE
State: relaxed

Summary:
space-group type: No. 123
E_form: 0.01 eV per atom
volume: 697.7 Å³/cell
uncorrected energy: -94.5 eV/cell
theoretical density: 6.98 g/cm³

Cell and atoms, written as POSCAR:
```
Pr15SmEr4
1.0
5.194 0.000 0.000
0.000 5.194 0.000
0.000 0.000 25.859
Pr Sm Er
15 1 4
direct
0.000 0.000 0.000
0.000 0.000 0.201
0.000 0.000 0.400
0.000 0.000 0.600
0.000 0.000 0.799
0.000 0.500 0.101
0.000 0.500 0.301
0.000 0.500 0.500
0.000 0.500 0.699
0.000 0.500 0.899
0.500 0.000 0.101
0.500 0.000 0.301
0.500 0.000 0.500
0.500 0.000 0.699
0.500 0.000 0.899
0.500 0.500 0.000
0.500 0.500 0.201
0.500 0.500 0.400
0.500 0.500 0.600
0.500 0.500 0.799
```